Below is Pm6GeRu2 after structural relaxation, with properties calculated at the GGA-PBE level.

The value obtained for the electronic total energy is -6.0070 eV/atom. For the volume, the calculation gives 475.8 Å³ per cell. For the formation energy, the calculation gives -265.6 meV per atom.

The structure belongs to space group C2/m (No. 12); the cell edges are 10.3150, 5.0861 and 9.2093 Å and the angles 90.00°, 100.01° and 90.00°. The distinct sites, in fractional coordinates, are Pm at (0.0354, 0.0000, 0.3334), Pm at (0.1532, 0.5000, 0.8963), Pm at (0.2141, 0.5000, 0.3416), Ge at (0.0000, 0.0000, 0.0000) and Ru at (0.1121, 0.5000, 0.6017).